No. 1
This record from Alexandria via LeMat-Bulk describes crystalline Rb3SrGe2O6 at its relaxed geometry. The functional is PBE.

extended XYZ file:
```
12
Lattice="-1.974 -4.477 -4.029 -0.616 -0.865 6.249 -6.936 3.267 -0.232" Properties=species:S:1:pos:R:3 pbc="T T T"
O -2.895 -0.547 4.357
O -6.920 -1.933 0.553
O -2.607 -0.142 1.435
O -6.632 -1.529 -2.369
O -5.709 0.564 -0.485
O -3.818 -2.640 2.473
Rb -5.979 0.243 2.659
Rb -3.548 -2.319 -0.671
Rb 0.000 0.000 0.000
Ge -6.717 -0.826 -0.777
Ge -2.809 -1.249 2.765
Sr -3.468 1.633 -0.116
```

Results
size of the total moment = 0.068 μB per atom



No. 2
This record from Alexandria via LeMat-Bulk describes crystalline RbSr2GeO4 at its relaxed geometry. The functional is PBE.

extended XYZ file:
```
16
Lattice="3.767 0.000 0.000 -1.883 6.444 0.000 0.000 0.000 12.193" Properties=species:S:1:pos:R:3 pbc="T T T"
O 0.000 4.947 9.145
O 1.883 3.159 10.662
O 0.000 3.286 1.531
O 0.000 3.286 4.565
O 0.000 0.000 0.000
O 0.000 0.000 6.096
O 1.883 1.498 3.048
O 1.883 3.159 7.628
Ge 0.000 2.243 3.048
Ge 1.883 4.201 9.145
Sr 0.000 4.803 6.548
Sr 1.883 1.641 0.451
Sr 0.000 4.803 11.742
Sr 1.883 1.641 5.645
Rb 1.883 5.232 3.048
Rb 0.000 1.212 9.145
```

Results
size of the total moment = 0.000 μB per atom



No. 3
This record from Alexandria via LeMat-Bulk describes crystalline RbTaGeO6 at its relaxed geometry. The functional is PBE.

extended XYZ file:
```
9
Lattice="-4.151 0.266 3.523 -2.128 -4.638 1.917 3.890 0.026 4.511" Properties=species:S:1:pos:R:3 pbc="T T T"
O -3.640 -1.682 5.803
O -3.268 -4.455 5.496
O -1.272 -4.422 6.333
O -1.814 -2.616 3.966
O -0.623 -1.764 6.026
O -2.801 -2.455 7.642
Ge -2.164 -2.849 5.815
Ta -0.237 -1.507 4.146
Rb 3.877 0.017 4.522
```

Results
size of the total moment = 0.231 μB per atom



No. 4
This record from Alexandria via LeMat-Bulk describes crystalline RbTaGe2O8 at its relaxed geometry. The functional is PBE.

extended XYZ file:
```
12
Lattice="-3.512 -3.539 -2.621 2.963 -1.758 4.457 -5.760 2.228 4.708" Properties=species:S:1:pos:R:3 pbc="T T T"
Ge -2.955 -2.326 1.047
Ge -3.354 -0.743 5.497
O -2.965 -3.383 2.444
O -2.661 -0.668 1.531
O -1.635 -2.837 -0.032
O -3.343 0.314 4.099
O -4.466 -2.453 0.168
O -4.673 -0.233 6.575
O -1.843 -0.617 6.375
O -3.647 -2.402 5.012
Ta -2.880 1.114 2.354
Rb 0.000 0.000 0.000
```

Results
size of the total moment = 0.170 μB per atom



No. 5
This record from Alexandria via LeMat-Bulk describes crystalline Rb2TbGeO4 at its relaxed geometry. The functional is PBE.

extended XYZ file:
```
8
Lattice="6.261 -0.351 -0.538 -2.986 5.514 0.538 -2.986 -1.726 5.265" Properties=species:S:1:pos:R:3 pbc="T T T"
Rb 0.145 3.529 1.451
Rb 0.000 0.000 0.000
O -1.910 0.441 3.314
O 3.560 2.132 0.629
O -2.574 3.277 4.066
O 1.503 1.023 2.522
Tb 0.145 -0.092 3.814
Ge -2.986 1.894 2.902
```

Results
size of the total moment = 0.000 μB per atom



No. 6
This record from Alexandria via LeMat-Bulk describes crystalline RbTcGeO6 at its relaxed geometry. The functional is PBE.

extended XYZ file:
```
9
Lattice="-3.227 0.979 -3.926 -5.096 -0.673 0.609 -0.557 5.987 1.951" Properties=species:S:1:pos:R:3 pbc="T T T"
Tc -5.810 3.015 -1.295
O -2.198 1.719 0.866
O -2.154 2.566 -1.721
O -6.750 3.784 0.277
O -4.428 4.341 -0.768
O -6.595 4.604 -2.193
O -4.524 1.957 -0.528
Rb -3.775 6.858 -2.010
Ge -3.071 3.293 -0.066
```

Results
size of the total moment = 0.000 μB per atom



Number 1: uncorrected formation energy -1735 meV/atom. Number 2: uncorrected formation energy -2104 meV/atom. Number 3: uncorrected formation energy -1734 meV/atom. Number 4: uncorrected formation energy -1699 meV/atom. Number 5: uncorrected formation energy -1960 meV/atom. Number 6: uncorrected formation energy -1444 meV/atom.